No. 1
Computed, not measured: a relaxed Ga2CoHRh crystal at the PBE level of DFT.

Structure (CIF):
```
data_Ga2CoHRh
_cell_length_a 4.1823
_cell_length_b 4.1823
_cell_length_c 3.1795
_cell_angle_alpha 90.00
_cell_angle_beta 90.00
_cell_angle_gamma 90.00
_symmetry_space_group_name_H-M 'P 4/m m m'
_symmetry_Int_Tables_number 123
_symmetry_space_group_name_Hall '-P 4 2'
loop_
_atom_site_label
_atom_site_fract_x
_atom_site_fract_y
_atom_site_fract_z
Ga1 0.0000 0.5000 0.0000
Co1 0.0000 0.0000 0.5000
H1 0.0000 0.0000 0.0000
Rh1 0.5000 0.5000 0.5000
```

Output
- M_tot (μB/cell) = 0.00
- calculated total energy (eV/atom) = -5.003


No. 2
Computed, not measured: a relaxed Na12In6Ga crystal at the PBE level of DFT.

Structure (CIF):
```
data_Na12In6Ga
_cell_length_a 13.9784
_cell_length_b 13.9784
_cell_length_c 10.1000
_cell_angle_alpha 90.00
_cell_angle_beta 90.00
_cell_angle_gamma 120.00
_symmetry_space_group_name_H-M 'R -3'
_symmetry_Int_Tables_number 148
_symmetry_space_group_name_Hall '-R 3'
loop_
_atom_site_label
_atom_site_fract_x
_atom_site_fract_y
_atom_site_fract_z
Na1 0.0466 0.2457 0.4399
Na2 0.0518 0.7986 0.9423
In1 0.0012 0.8716 0.2467
Ga1 0.0000 0.0000 0.0000
```

Output
- M_tot (μB/cell) = 0.00
- formation energy from the elements (eV per formula unit) = -0.967
- calculated total energy (eV/atom) = -1.908


No. 3
Computed, not measured: a relaxed Ce3PuOs crystal at the PBE level of DFT.

Structure (CIF):
```
data_Ce3PuOs
_cell_length_a 11.6623
_cell_length_b 5.3664
_cell_length_c 9.1071
_cell_angle_alpha 90.00
_cell_angle_beta 114.08
_cell_angle_gamma 90.00
_symmetry_space_group_name_H-M 'C 1 2/m 1'
_symmetry_Int_Tables_number 12
loop_
_symmetry_equiv_pos_as_xyz
'x,y,z'
'-x,-y,-z'
'-x,y,-z'
'x,-y,z'
'x+1/2,y+1/2,z'
'-x+1/2,-y+1/2,-z'
'-x+1/2,y+1/2,-z'
'x+1/2,-y+1/2,z'
loop_
_atom_site_label
_atom_site_fract_x
_atom_site_fract_y
_atom_site_fract_z
Ce1 0.1102 0.0000 0.1409
Ce2 0.1308 0.5000 0.4510
Ce3 0.1624 0.0000 0.7811
Pu1 0.1039 0.5000 0.9362
Os1 0.1000 0.0000 0.4425
```

Output
- M_tot (μB/cell) = 27.16
- formation energy from the elements (eV per formula unit) = 0.085
- calculated total energy (eV/atom) = -8.656
- energy above the most stable polymorph in this dataset (kcal/mol of atoms) = 1.50